Here is an optimized crystal structure of AcWO4F from Alexandria via LeMat-Bulk. Energies are from PBE+U.

a = 6.520 Å, b = 6.520 Å, c = 7.434 Å
α = 76.19°, β = 76.19°, γ = 75.24°
Atoms (fractional coordinates):
W 0.649 0.649 0.727
W 0.351 0.351 0.273
Ac 0.206 0.206 0.881
Ac 0.794 0.794 0.119
F 0.984 0.984 0.829
F 0.016 0.016 0.171
O 0.522 0.881 0.843
O 0.881 0.522 0.843
O 0.269 0.269 0.524
O 0.478 0.119 0.157
O 0.731 0.731 0.476
O 0.467 0.467 0.776
O 0.533 0.533 0.224
O 0.119 0.478 0.157

DFT total energy, eV per formula unit: -52.75
Space-group type: No. 12